Record 1
Material: Ca2YZn2
Method: DFT, SCAN
State: single point on PBEsol structure

Cell lengths 7.3549, 7.3549, 4.8520 Å; angles 90.00, 90.00, 90.00 degrees
Sites, in units of the cell vectors:
Ca 0.1733 0.3267 0.0000
Ca 0.3267 0.8267 0.0000
Ca 0.6733 0.1733 0.0000
Ca 0.8267 0.6733 0.0000
Y 0.0000 0.0000 0.5000
Y 0.5000 0.5000 0.5000
Zn 0.1190 0.6190 0.5000
Zn 0.3810 0.1190 0.5000
Zn 0.6190 0.8810 0.5000
Zn 0.8810 0.3810 0.5000

Computed properties:
* total energy: -150.5 eV per cell
* spin magnetization: 0.0000 μB/atom
* symmetry: No. 127
* formation energy: -0.21 eV/atom

Record 2
Material: AlRuC2
Method: DFT, SCAN
State: single point on PBEsol structure

Cell lengths 5.5921, 5.5921, 5.5921 Å; angles 131.52, 131.52, 70.99 degrees
Sites, in units of the cell vectors:
Al 0.0000 0.0000 0.0000
Al 0.7500 0.2500 0.5000
Ru 0.2500 0.7500 0.5000
Ru 0.5000 0.5000 0.0000
C 0.1438 0.6250 0.0188
C 0.3750 0.3938 0.5188
C 0.6062 0.1250 0.9812
C 0.8750 0.8562 0.4812

Computed properties:
* total energy: -121.7 eV per cell
* spin magnetization: 0.0000 μB/atom
* symmetry: No. 122
* formation energy: 0.48 eV/atom

Record 3
Material: TcOsI2N
Method: DFT, SCAN
State: single point on PBEsol structure

Cell lengths 5.2424, 5.2424, 3.5983 Å; angles 90.00, 90.00, 90.00 degrees
Sites, in units of the cell vectors:
Tc 0.0000 0.0000 0.0000
Os 0.5000 0.5000 0.5000
I 0.0000 0.5000 0.0000
I 0.5000 0.0000 0.0000
N 0.0000 0.0000 0.5000

Computed properties:
* total energy: -182.5 eV per cell
* spin magnetization: 0.0000 μB/atom
* symmetry: No. 123

Record 4
Material: BaAlCl2
Method: DFT, SCAN
State: single point on PBEsol structure

Cell lengths 9.3781, 9.3781, 9.3781 Å; angles 27.69, 27.69, 27.69 degrees
Sites, in units of the cell vectors:
Ba 0.0000 0.0000 0.0000
Al 0.5000 0.5000 0.5000
Cl 0.2765 0.2765 0.2765
Cl 0.7235 0.7235 0.7235

Computed properties:
* total energy: -68.3 eV per cell
* spin magnetization: 0.0001 μB/atom
* symmetry: No. 166

Record 5
Material: FeAg2Sn3S8
Method: DFT, SCAN
State: single point on PBEsol structure

Cell lengths 7.3391, 7.3391, 7.3391 Å; angles 60.77, 60.77, 60.77 degrees
Sites, in units of the cell vectors:
Fe 0.0000 0.0000 0.0000
Ag 0.3866 0.3866 0.3866
Ag 0.6134 0.6134 0.6134
Sn 0.0000 0.0000 0.5000
Sn 0.0000 0.5000 0.0000
Sn 0.5000 0.0000 0.0000
S 0.2101 0.7803 0.7803
S 0.2197 0.2197 0.7899
S 0.2197 0.7899 0.2197
S 0.2479 0.2479 0.2479
S 0.7521 0.7521 0.7521
S 0.7803 0.2101 0.7803
S 0.7803 0.7803 0.2101
S 0.7899 0.2197 0.2197

Computed properties:
* total energy: -271.4 eV per cell
* spin magnetization: 0.0001 μB/atom
* symmetry: No. 166

Record 6
Material: Lu3In
Method: DFT, SCAN
State: single point on PBEsol structure

Cell lengths 4.6612, 4.6612, 4.6612 Å; angles 90.00, 90.00, 90.00 degrees
Sites, in units of the cell vectors:
Lu 0.0000 0.0000 0.5000
Lu 0.0000 0.5000 0.0000
Lu 0.5000 0.0000 0.0000
In 0.5000 0.5000 0.5000

Computed properties:
* total energy: -200.8 eV per cell
* spin magnetization: 0.0138 μB/atom
* symmetry: No. 221
* formation energy: -0.35 eV/atom

Record 7
Material: FeIr4Pt
Method: DFT, SCAN
State: single point on PBEsol structure

Cell lengths 5.0716, 5.0716, 5.0716 Å; angles 60.00, 60.00, 60.00 degrees
Sites, in units of the cell vectors:
Fe 0.0000 0.0000 0.0000
Ir 0.1249 0.6250 0.6250
Ir 0.6250 0.1249 0.6250
Ir 0.6250 0.6250 0.1249
Ir 0.6250 0.6250 0.6250
Pt 0.2500 0.2500 0.2500

Computed properties:
* total energy: -369.5 eV per cell
* spin magnetization: 0.9821 μB/atom
* symmetry: No. 216
* formation energy: 0.53 eV/atom

Record 8
Material: CsMgAg3
Method: DFT, SCAN
State: single point on PBEsol structure

Cell lengths 5.7879, 5.7879, 5.7879 Å; angles 90.00, 90.00, 90.00 degrees
Sites, in units of the cell vectors:
Cs 0.0000 0.0000 0.0000
Mg 0.5000 0.5000 0.5000
Ag 0.0000 0.0000 0.5000
Ag 0.0000 0.5000 0.0000
Ag 0.5000 0.0000 0.0000

Computed properties:
* total energy: -129.9 eV per cell
* spin magnetization: 0.0000 μB/atom
* symmetry: No. 221
* formation energy: 1.41 eV/atom